# LiCoPO4 | the Alexandria database | GGA+U | optimized geometry
# **Distance to the lowest polymorph of the same formula**: 0.58 eV per formula unit
# **VASP energy**: -6.563 eV/atom
data_LiCoPO4
_chemical_formula_sum 'Li4 Co4 P4 O16'
_symmetry_space_group_name_H-M 'P 1 21/c 1'
_symmetry_Int_Tables_number 14
_symmetry_space_group_name_Hall '-P 2ybc'
_cell_length_a 5.150
_cell_length_b 6.075
_cell_length_c 10.364
_cell_angle_alpha 90.00
_cell_angle_beta 114.37
_cell_angle_gamma 90.00
loop_
_atom_site_label
_atom_site_type_symbol
_atom_site_fract_x
_atom_site_fract_y
_atom_site_fract_z
Li1 Li 0.090 0.140 0.429
Co1 Co 0.454 0.610 0.660
P1 P 0.106 0.652 0.365
O1 O 0.197 0.663 0.978
O2 O 0.224 0.144 0.222
O3 O 0.226 0.064 0.949
O4 O 0.248 0.667 0.257